The following is a PBE calculation of an optimized crystal structure of Pm5YHo, from Alexandria.

Values from the calculation:
volume = 315 Å³/f.u.
excess energy over the best structure of this formula in the dataset = 841.3 meV/atom
mass density = 5.165 g cm⁻³
space group = No. 71
energy relative to the elements = 684 kJ/mol of formula units
total DFT energy (no corrections) = -27.7 eV for the cell shown

abc: 8.049 8.049 8.049
angles: 136.97 113.81 82.26
Fractional coordinates of all 7 atoms:
Pm1 0.000 0.000 0.000
Pm2 0.247 0.747 0.500
Pm3 0.323 0.500 0.823
Pm4 0.677 0.500 0.177
Pm5 0.753 0.253 0.500
Y1 0.500 0.000 0.500
Ho1 0.000 0.500 0.500

---

The following is a PBE calculation of an optimized crystal structure of Pm5Y4Ho2, from Alexandria.

Values from the calculation:
volume = 381 Å³/f.u.
excess energy over the best structure of this formula in the dataset = 108.0 meV/atom
mass density = 6.143 g cm⁻³
space group = No. 71
energy relative to the elements = 236 kJ/mol of formula units
total DFT energy (no corrections) = -56.3 eV for the cell shown

abc: 12.765 12.765 12.765
angles: 164.08 138.01 45.18
Fractional coordinates of all 11 atoms:
Pm1 0.000 0.000 0.000
Pm2 0.053 0.353 0.700
Pm3 0.347 0.647 0.700
Pm4 0.653 0.353 0.300
Pm5 0.947 0.647 0.300
Y1 0.311 0.500 0.811
Y2 0.402 0.902 0.500
Y3 0.598 0.098 0.500
Y4 0.689 0.500 0.189
Ho1 0.269 0.769 0.500
Ho2 0.731 0.231 0.500

---

The following is a PBE calculation of an optimized crystal structure of Pm7Y2Ho4, from Alexandria.

Values from the calculation:
volume = 435 Å³/f.u.
mass density = 7.072 g cm⁻³
space group = No. 162
energy relative to the elements = 209 kJ/mol of formula units
total DFT energy (no corrections) = -62.3 eV for the cell shown

abc: 6.173 6.173 13.179
angles: 90.00 90.00 120.00
Fractional coordinates of all 13 atoms:
Pm1 0.000 0.000 0.000
Pm2 0.000 0.371 0.223
Pm3 0.000 0.629 0.777
Pm4 0.371 0.000 0.223
Pm5 0.371 0.371 0.777
Pm6 0.629 0.000 0.777
Pm7 0.629 0.629 0.223
Y1 0.333 0.667 0.000
Y2 0.667 0.333 0.000
Ho1 0.000 0.000 0.392
Ho2 0.000 0.000 0.608
Ho3 0.333 0.667 0.500
Ho4 0.667 0.333 0.500

---

The following is a PBE calculation of an optimized crystal structure of Pm2Y7Ho4, from Alexandria.

Values from the calculation:
volume = 429 Å³/f.u.
mass density = 6.088 g cm⁻³
space group = No. 162
energy relative to the elements = 236 kJ/mol of formula units
total DFT energy (no corrections) = -70.6 eV for the cell shown

abc: 6.093 6.093 13.337
angles: 90.00 90.00 120.00
Fractional coordinates of all 13 atoms:
Pm1 0.333 0.667 0.000
Pm2 0.667 0.333 0.000
Y1 0.000 0.000 0.000
Y2 0.000 0.354 0.782
Y3 0.000 0.646 0.218
Y4 0.354 0.000 0.782
Y5 0.354 0.354 0.218
Y6 0.646 0.000 0.218
Y7 0.646 0.646 0.782
Ho1 0.000 0.000 0.395
Ho2 0.000 0.000 0.605
Ho3 0.333 0.667 0.500
Ho4 0.667 0.333 0.500

---

The following is a PBE calculation of an optimized crystal structure of Pm5Y12Ho2, from Alexandria.

Values from the calculation:
volume = 636 Å³/f.u.
excess energy over the best structure of this formula in the dataset = 96.1 meV/atom
mass density = 5.537 g cm⁻³
space group = No. 12
energy relative to the elements = 211 kJ/mol of formula units
total DFT energy (no corrections) = -108.3 eV for the cell shown

abc: 9.111 9.111 8.692
angles: 91.71 91.71 61.94
Fractional coordinates of all 19 atoms:
Pm1 0.000 0.000 0.000
Pm2 0.230 0.230 0.071
Pm3 0.295 0.295 0.481
Pm4 0.705 0.705 0.519
Pm5 0.770 0.770 0.929
Y1 0.031 0.673 0.263
Y2 0.075 0.075 0.375
Y3 0.181 0.561 0.833
Y4 0.327 0.969 0.737
Y5 0.439 0.819 0.167
Y6 0.443 0.443 0.167
Y7 0.557 0.557 0.833
Y8 0.561 0.181 0.833
Y9 0.673 0.031 0.263
Y10 0.819 0.439 0.167
Y11 0.925 0.925 0.625
Y12 0.969 0.327 0.737
Ho1 0.327 0.673 0.500
Ho2 0.673 0.327 0.500

---

The following is a PBE calculation of an optimized crystal structure of PmYHo4, from Alexandria.

Values from the calculation:
volume = 190 Å³/f.u.
excess energy over the best structure of this formula in the dataset = 12.8 meV/atom
mass density = 7.796 g cm⁻³
space group = No. 2
energy relative to the elements = 12 kJ/mol of formula units
total DFT energy (no corrections) = -29.4 eV for the cell shown

abc: 5.009 6.160 7.112
angles: 106.82 90.00 113.91
Fractional coordinates of all 6 atoms:
Pm1 0.000 0.000 0.000
Y1 0.000 0.000 0.500
Ho1 0.332 0.665 0.666
Ho2 0.333 0.666 0.167
Ho3 0.667 0.334 0.833
Ho4 0.668 0.335 0.334

---

The following is a PBE calculation of an optimized crystal structure of Pm3YHo, from Alexandria.

Values from the calculation:
volume = 167 Å³/f.u.
excess energy over the best structure of this formula in the dataset = 21.5 meV/atom
mass density = 6.852 g cm⁻³
space group = No. 36
energy relative to the elements = 20 kJ/mol of formula units
total DFT energy (no corrections) = -50.2 eV for the cell shown

abc: 8.911 8.911 7.139
angles: 90.00 90.00 143.92
Fractional coordinates of all 10 atoms:
Pm1 0.000 0.000 0.000
Pm2 0.000 0.000 0.500
Pm3 0.200 0.800 0.998
Pm4 0.391 0.609 0.750
Pm5 0.609 0.391 0.250
Pm6 0.800 0.200 0.498
Y1 0.391 0.609 0.248
Y2 0.609 0.391 0.748
Ho1 0.199 0.801 0.499
Ho2 0.801 0.199 0.999

---

The following is a PBE calculation of an optimized crystal structure of Pm2Y5Ho, from Alexandria.

Values from the calculation:
volume = 272 Å³/f.u.
excess energy over the best structure of this formula in the dataset = 288.9 meV/atom
mass density = 5.482 g cm⁻³
space group = No. 15
energy relative to the elements = 239 kJ/mol of formula units
total DFT energy (no corrections) = -87.9 eV for the cell shown

abc: 13.113 13.113 6.711
angles: 90.32 90.32 151.82
Fractional coordinates of all 16 atoms:
Pm1 0.000 0.000 0.000
Pm2 0.000 0.000 0.500
Pm3 0.000 0.500 0.000
Pm4 0.500 0.000 0.500
Y1 0.115 0.885 0.250
Y2 0.140 0.509 0.527
Y3 0.154 0.359 0.177
Y4 0.359 0.154 0.677
Y5 0.491 0.860 0.973
Y6 0.509 0.140 0.027
Y7 0.641 0.846 0.323
Y8 0.846 0.641 0.823
Y9 0.860 0.491 0.473
Y10 0.885 0.115 0.750
Ho1 0.449 0.551 0.750
Ho2 0.551 0.449 0.250

---

The following is a PBE calculation of an optimized crystal structure of PmY5Ho5, from Alexandria.

Values from the calculation:
volume = 363 Å³/f.u.
excess energy over the best structure of this formula in the dataset = 0.0 meV/atom
mass density = 6.476 g cm⁻³
space group = No. 2
energy relative to the elements = 157 kJ/mol of formula units
total DFT energy (no corrections) = -58.3 eV for the cell shown

abc: 6.861 6.950 8.330
angles: 75.97 77.21 72.42
Fractional coordinates of all 11 atoms:
Pm1 0.000 0.000 0.000
Y1 0.000 0.500 0.000
Y2 0.324 0.270 0.652
Y3 0.357 0.746 0.721
Y4 0.643 0.254 0.279
Y5 0.676 0.730 0.348
Ho1 0.155 0.132 0.358
Ho2 0.207 0.640 0.314
Ho3 0.500 0.000 0.000
Ho4 0.793 0.360 0.686
Ho5 0.845 0.868 0.642

---

The following is a PBE calculation of an optimized crystal structure of Pm2Y3Ho5, from Alexandria.

Values from the calculation:
volume = 329 Å³/f.u.
mass density = 6.965 g cm⁻³
space group = No. 15
energy relative to the elements = 192 kJ/mol of formula units
total DFT energy (no corrections) = -99.6 eV for the cell shown

abc: 9.545 9.545 9.435
angles: 108.42 108.42 111.87
Fractional coordinates of all 20 atoms:
Pm1 0.019 0.275 0.048
Pm2 0.275 0.019 0.548
Pm3 0.725 0.981 0.452
Pm4 0.981 0.725 0.952
Y1 0.020 0.980 0.750
Y2 0.223 0.474 0.452
Y3 0.474 0.223 0.952
Y4 0.526 0.777 0.048
Y5 0.777 0.526 0.548
Y6 0.980 0.020 0.250
Ho1 0.131 0.385 0.762
Ho2 0.226 0.774 0.750
Ho3 0.274 0.726 0.250
Ho4 0.385 0.131 0.262
Ho5 0.475 0.525 0.250
Ho6 0.525 0.475 0.750
Ho7 0.615 0.869 0.738
Ho8 0.726 0.274 0.750
Ho9 0.774 0.226 0.250
Ho10 0.869 0.615 0.238

---

The following is a PBE calculation of an optimized crystal structure of Pm12Y5Ho2, from Alexandria.

Values from the calculation:
volume = 640 Å³/f.u.
excess energy over the best structure of this formula in the dataset = 0.0 meV/atom
mass density = 6.527 g cm⁻³
space group = No. 12
energy relative to the elements = 177 kJ/mol of formula units
total DFT energy (no corrections) = -96.6 eV for the cell shown

abc: 10.696 10.696 6.237
angles: 100.32 100.32 66.62
Fractional coordinates of all 19 atoms:
Pm1 0.048 0.560 0.802
Pm2 0.055 0.055 0.274
Pm3 0.147 0.645 0.383
Pm4 0.355 0.853 0.617
Pm5 0.381 0.381 0.998
Pm6 0.440 0.952 0.198
Pm7 0.560 0.048 0.802
Pm8 0.619 0.619 0.002
Pm9 0.645 0.147 0.383
Pm10 0.853 0.355 0.617
Pm11 0.945 0.945 0.726
Pm12 0.952 0.440 0.198
Y1 0.176 0.176 0.861
Y2 0.284 0.284 0.445
Y3 0.500 0.500 0.500
Y4 0.716 0.716 0.555
Y5 0.824 0.824 0.139
Ho1 0.268 0.732 0.000
Ho2 0.732 0.268 0.000

---

The following is a PBE calculation of an optimized crystal structure of Pm2Y7Ho3, from Alexandria.

Values from the calculation:
volume = 415 Å³/f.u.
excess energy over the best structure of this formula in the dataset = 230.7 meV/atom
mass density = 5.632 g cm⁻³
space group = No. 10
energy relative to the elements = 370 kJ/mol of formula units
total DFT energy (no corrections) = -64.7 eV for the cell shown

abc: 6.161 5.518 12.205
angles: 90.00 91.31 90.00
Fractional coordinates of all 12 atoms:
Pm1 0.096 0.000 0.279
Pm2 0.904 0.000 0.721
Y1 0.058 0.500 0.823
Y2 0.265 0.000 0.546
Y3 0.421 0.000 0.832
Y4 0.500 0.500 0.000
Y5 0.579 0.000 0.168
Y6 0.735 0.000 0.454
Y7 0.942 0.500 0.177
Ho1 0.000 0.000 0.000
Ho2 0.446 0.500 0.342
Ho3 0.554 0.500 0.658